Below is a relaxed structure of AlV2In2, with properties calculated at the GGA-PBE level.

## Properties
The formation energy is 189 meV per atom. The total energy comes out at -26.51 eV/f.u. For the calculated volume, the calculation gives 91.72 Å³/f.u.

Cell: 6.5919 6.5919 4.2214 Å, 90.00 90.00 90.00°
Last column: nearest neighbours and their distance in Å.
Space group P4/mbm (No. 127)
Inequivalent atoms, fractional coordinates:
Al 0.0000 0.0000 0.0000  4 V 2.58
V 0.1321 0.3679 0.0000  1 V 2.46, 2 Al 2.58
In 0.1685 0.6685 0.5000  6 V 2.81-2.90, 1 In 3.14

=====

Below is a relaxed structure of SmErZnPd, with properties calculated at the GGA-PBE level.

## Properties
The formation energy is -577 meV per atom. The polymorph energy (0 for the lowest one) is 30 meV per atom. The total energy comes out at -18.06 eV/f.u. For the calculated volume, the calculation gives 90.33 Å³/f.u.

Cell: 7.1226 7.1226 7.1226 Å, 90.00 90.00 90.00°
Last column: nearest neighbours and their distance in Å.
Space group F-43m (No. 216)
Inequivalent atoms, fractional coordinates:
Sm 0.0000 0.0000 0.0000  4 Zn 3.08, 4 Pd 3.08
Er 0.0000 0.0000 0.5000  4 Pd 3.08, 4 Zn 3.08
Zn 0.2500 0.2500 0.7500  4 Er 3.08, 4 Sm 3.08
Pd 0.2500 0.2500 0.2500  4 Er 3.08, 4 Sm 3.08

=====

Below is a relaxed structure of Nb3FeRu, with properties calculated at the GGA-PBE level.

## Properties
The formation energy is 830 meV per atom. The polymorph energy (0 for the lowest one) is 0 meV per atom. The total energy comes out at -43.80 eV/f.u. For the calculated volume, the calculation gives 92.49 Å³/f.u.

Cell: 4.5223 4.5223 4.5223 Å, 90.00 90.00 90.00°
Last column: nearest neighbours and their distance in Å.
Space group Pm-3m (No. 221)
Inequivalent atoms, fractional coordinates:
Nb 0.0000 0.0000 0.5000  2 Fe 2.26
Fe 0.0000 0.0000 0.0000  6 Nb 2.26
Ru 0.5000 0.5000 0.5000  12 Nb 3.20

=====

Below is a relaxed structure of Mg2Pt2O7, with properties calculated at the GGA-PBE level.

## Properties
The formation energy (no corrections) comes out at -1.17 eV/atom. The total energy comes out at -62.80 eV/f.u. For the calculated volume, the calculation gives 124.95 Å³/f.u.

Cell: 9.9987 9.9987 9.9987 Å, 90.00 90.00 90.00°
Last column: nearest neighbours and their distance in Å.
Space group Fd-3m (No. 227, origin choice 2)
Inequivalent atoms, fractional coordinates:
Mg 0.0000 0.0000 0.0000  8 O 2.16-2.39
Pt 0.0000 0.0000 0.5000  6 O 1.98
O 0.0888 0.3750 0.8750  2 Pt 1.98
O 0.1250 0.1250 0.1250  4 Mg 2.16

=====

Below is a relaxed structure of KRb3In, with properties calculated at the GGA-PBE level.

## Properties
The formation energy is -12 meV per atom. The polymorph energy (0 for the lowest one) is 0 meV per atom. The total energy comes out at -6.80 eV/f.u. For the calculated volume, the calculation gives 362.69 Å³/f.u.

Cell: 5.1291 29.1018 9.7194 Å, 90.00 90.00 90.00°
Last column: nearest neighbours and their distance in Å.
Space group Ama2 (No. 40)
Inequivalent atoms, fractional coordinates:
K 0.2500 0.0653 0.0000  3 In 3.64-3.77
Rb 0.2500 0.0678 0.5343  3 In 3.82-3.91
Rb 0.2500 0.3035 0.2683  8 Rb 4.82-5.13, 2 K 5.12
Rb 0.2500 0.3368 0.7568  1 In 4.01
In 0.2500 0.4744 0.7581  2 In 2.96

=====

Below is a relaxed structure of KZnCoH6, with properties calculated at the GGA-PBE level.

## Properties
The total energy comes out at -30.67 eV/f.u. For the calculated volume, the calculation gives 96.21 Å³/f.u.

Cell: 4.4602 4.4602 5.5845 Å, 90.00 90.00 120.00°
Last column: nearest neighbours and their distance in Å.
Space group P312 (No. 149)
Inequivalent atoms, fractional coordinates:
K 0.0000 0.0000 0.0000  6 H 2.50
Zn 0.3333 0.6667 0.5000  6 H 1.85
Co 0.6667 0.3333 0.5000  6 H 1.54
H 0.4025 0.0530 0.6702  1 Co 1.54

=====

Below is a relaxed structure of LaThNiPd, with properties calculated at the GGA-PBE level.

## Properties
The formation energy is -428 meV per atom. The polymorph energy (0 for the lowest one) is 138 meV per atom. The total energy comes out at -25.03 eV/f.u. For the calculated volume, the calculation gives 92.89 Å³/f.u.

Cell: 7.1891 7.1891 7.1891 Å, 90.00 90.00 90.00°
Last column: nearest neighbours and their distance in Å.
Space group F-43m (No. 216)
Inequivalent atoms, fractional coordinates:
La 0.0000 0.0000 0.0000  4 Pd 3.11, 4 Ni 3.11
Th 0.0000 0.0000 0.5000  4 Ni 3.11, 4 Pd 3.11
Ni 0.2500 0.2500 0.7500  4 La 3.11, 4 Th 3.11
Pd 0.2500 0.2500 0.2500  4 Th 3.11, 4 La 3.11

=====

Below is a relaxed structure of Pm2PrAl2Ga2, with properties calculated at the GGA-PBE level.

## Properties
The formation energy is -426 meV per atom. The total energy comes out at -30.80 eV/f.u. For the calculated volume, the calculation gives 182.12 Å³/f.u.

Cell: 4.3084 4.3084 33.9868 Å, 90.00 90.00 120.00°
Last column: nearest neighbours and their distance in Å.
Space group R-3m (No. 166, hexagonal axes)
Inequivalent atoms, fractional coordinates:
Pm 0.0000 0.0000 0.1248  3 Ga 3.12, 3 Al 3.29
Pr 0.0000 0.0000 0.0000  6 Al 3.25, 6 Ga 3.42
Al 0.0000 0.0000 0.3947  3 Ga 2.50
Ga 0.0000 0.0000 0.2641  3 Al 2.50

=====

Below is a relaxed structure of NdNi2Pt2, with properties calculated at the GGA-PBE level.

## Properties
The formation energy is -479 meV per atom. The total energy comes out at -30.81 eV/f.u. For the calculated volume, the calculation gives 88.90 Å³/f.u.

Cell: 4.2057 4.2057 20.1039 Å, 90.00 90.00 90.00°
Last column: nearest neighbours and their distance in Å.
Space group I4/mmm (No. 139)
Inequivalent atoms, fractional coordinates:
Nd 0.0000 0.0000 0.1224  8 Ni 3.18-3.32, 8 Pt 3.22-3.24
Ni 0.0000 0.0000 0.4340  5 Pt 2.37-2.49, 1 Ni 2.65
Ni 0.0000 0.5000 0.2500  4 Pt 2.49
Pt 0.0000 0.0000 0.3160  5 Ni 2.37-2.49
Pt 0.0000 0.5000 0.0000  4 Ni 2.49

=====

Below is a relaxed structure of PmSmBe, with properties calculated at the GGA-PBE level.

## Properties
The formation energy is 193 meV per atom. The polymorph energy (0 for the lowest one) is 59 meV per atom. The total energy comes out at -12.62 eV/f.u. For the calculated volume, the calculation gives 72.96 Å³/f.u.

Cell: 4.7591 11.0457 11.1034 Å, 90.00 90.00 90.00°
Last column: nearest neighbours and their distance in Å.
Space group Fmmm (No. 69)
Inequivalent atoms, fractional coordinates:
Pm 0.0000 0.1575 0.0000  3 Pm 3.14-3.48, 4 Be 3.19, 4 Sm 3.42
Sm 0.0000 0.0000 0.3432  3 Sm 3.15-3.48, 4 Be 3.18, 4 Pm 3.42
Be 0.2500 0.2500 0.2500  2 Be 2.38

=====

Below is a relaxed structure of Rb3LiF4, with properties calculated at the GGA-PBE level.

## Properties
The polymorph energy (0 for the lowest one) is 0 meV per atom. The formation energy (no corrections) comes out at -2.70 eV/atom. The total energy comes out at -33.88 eV/f.u. For the calculated volume, the calculation gives 154.58 Å³/f.u.

Cell: 7.8211 9.7307 8.1247 Å, 90.00 90.00 90.00°
Last column: nearest neighbours and their distance in Å.
Space group Pnma (No. 62)
Inequivalent atoms, fractional coordinates:
Rb 0.0416 0.0492 0.2115  5 F 2.76-2.91
Rb 0.1416 0.7500 0.4188  5 F 2.75-3.01
Li 0.2196 0.7500 0.9869  4 F 1.90-1.91
F 0.0017 0.2500 0.9179  1 Li 1.90
F 0.1763 0.0792 0.5437  1 Li 1.91
F 0.2046 0.7500 0.7517  1 Li 1.91

=====

Below is a relaxed structure of Na2FeTcN, with properties calculated at the GGA-PBE level.

## Properties
The formation energy (no corrections) comes out at 0.69 eV/atom. The total energy comes out at -26.34 eV/f.u. For the calculated volume, the calculation gives 83.04 Å³/f.u.

Cell: 4.6186 4.6186 3.8927 Å, 90.00 90.00 90.00°
Last column: nearest neighbours and their distance in Å.
Space group P4/mmm (No. 123)
Inequivalent atoms, fractional coordinates:
Na 0.0000 0.5000 0.0000  2 N 2.31
Fe 0.0000 0.0000 0.5000  8 Na 3.02, 4 Tc 3.27
Tc 0.5000 0.5000 0.5000  2 N 1.95
N 0.5000 0.5000 0.0000  2 Tc 1.95

=====

Below is a relaxed structure of LiTa2Sn2, with properties calculated at the GGA-PBE level.

## Properties
The formation energy is 148 meV per atom. The total energy comes out at -32.89 eV/f.u. For the calculated volume, the calculation gives 107.75 Å³/f.u.

Cell: 8.4498 8.4498 3.0183 Å, 90.00 90.00 90.00°
Last column: nearest neighbours and their distance in Å.
Space group P4/mbm (No. 127)
Inequivalent atoms, fractional coordinates:
Li 0.0000 0.0000 0.0000  2 Li 3.02, 4 Sn 3.11
Ta 0.1139 0.3861 0.5000  3 Ta 2.72-3.02, 6 Sn 2.90-2.95
Sn 0.1790 0.6790 0.0000  6 Ta 2.90-2.95, 2 Sn 3.02, 2 Li 3.11

=====

Below is a relaxed structure of Dy6YHo4, with properties calculated at the GGA-PBE level.

## Properties
The formation energy is 432 meV per atom. The polymorph energy (0 for the lowest one) is 305 meV per atom. The total energy comes out at -47.63 eV/f.u. For the calculated volume, the calculation gives 373.26 Å³/f.u.

Cell: 7.5178 7.5178 13.2089 Å, 90.00 90.00 90.00°
Last column: nearest neighbours and their distance in Å.
Space group I-42m (No. 121)
Inequivalent atoms, fractional coordinates:
Dy 0.0000 0.5000 0.0000  4 Ho 2.99
Dy 0.2372 0.2372 0.1863  1 Ho 3.20, 1 Y 3.52
Y 0.0000 0.0000 0.0000  8 Dy 3.52-3.76, 4 Ho 3.71
Ho 0.1648 0.1648 0.4216  3 Dy 2.99-3.20, 2 Ho 3.23

=====

Below is a relaxed structure of Mn3AsRu, with properties calculated at the GGA-PBE level.

## Properties
The formation energy is 1102 meV per atom. The total energy comes out at -35.92 eV/f.u. For the calculated volume, the calculation gives 103.53 Å³/f.u.

Cell: 4.6956 4.6956 4.6956 Å, 90.00 90.00 90.00°
Last column: nearest neighbours and their distance in Å.
Space group Pm-3m (No. 221)
Inequivalent atoms, fractional coordinates:
Mn 0.0000 0.0000 0.5000  2 Ru 2.35
As 0.5000 0.5000 0.5000  12 Mn 3.32
Ru 0.0000 0.0000 0.0000  6 Mn 2.35

=====

Below is a relaxed structure of Sm5IrRh4, with properties calculated at the GGA-PBE level.

## Properties
The formation energy is -698 meV per atom. The total energy comes out at -68.85 eV/f.u. For the calculated volume, the calculation gives 214.68 Å³/f.u.

Cell: 3.5487 3.5487 17.0471 Å, 90.00 90.00 90.00°
Last column: nearest neighbours and their distance in Å.
Space group P4/mmm (No. 123)
Inequivalent atoms, fractional coordinates:
Sm 0.0000 0.0000 0.0000  8 Rh 3.03
Sm 0.0000 0.0000 0.2002  8 Rh 3.02-3.04
Sm 0.0000 0.0000 0.4014  4 Ir 3.02, 4 Rh 3.06, 1 Sm 3.36
Ir 0.5000 0.5000 0.5000  8 Sm 3.02
Rh 0.5000 0.5000 0.0999  8 Sm 3.03-3.04, 1 Rh 3.38
Rh 0.5000 0.5000 0.2983  8 Sm 3.02-3.06

=====

Below is a relaxed structure of Ca2PuHO6, with properties calculated at the GGA-PBE level.

## Properties
The total energy comes out at -74.76 eV/f.u. For the calculated volume, the calculation gives 132.25 Å³/f.u.

Cell: 5.8384 4.5156 11.6017 Å, 90.00 120.14 90.00°
Last column: nearest neighbours and their distance in Å.
Space group P2_1/c (No. 14)
Inequivalent atoms, fractional coordinates:
Ca 0.1769 0.0019 0.1771  6 O 2.32-2.38
Pu 0.5000 0.0000 0.0000  4 O 1.92
H 0.0000 0.0000 0.5000  2 O 1.32
O 0.1449 0.2238 0.4995  1 H 1.32
O 0.2148 0.7188 0.3593  1 Pu 1.92
O 0.4937 0.7193 0.6400  1 Pu 1.92

=====

Below is a relaxed structure of SbWSeBr2, with properties calculated at the GGA-PBE level.

## Properties
The polymorph energy (0 for the lowest one) is 0 meV per atom. The formation energy (no corrections) comes out at 0.54 eV/atom. The total energy comes out at -21.19 eV/f.u. For the calculated volume, the calculation gives 132.65 Å³/f.u.

Cell: 5.1852 5.1852 4.9336 Å, 90.00 90.00 90.00°
Last column: nearest neighbours and their distance in Å.
Space group P4/mmm (No. 123)
Inequivalent atoms, fractional coordinates:
Sb 0.0000 0.0000 0.0000  8 Br 3.58, 4 Se 3.67
W 0.5000 0.5000 0.5000  2 Se 2.47, 4 Br 2.59
Se 0.5000 0.5000 0.0000  2 W 2.47
Br 0.0000 0.5000 0.5000  2 W 2.59

=====

Below is a relaxed structure of Mg2BeFe, with properties calculated at the GGA-PBE level.

## Properties
The formation energy is 353 meV per atom. The total energy comes out at -13.97 eV/f.u. For the calculated volume, the calculation gives 59.47 Å³/f.u.

Cell: 5.5024 7.7507 2.7887 Å, 90.00 90.00 90.00°
Last column: nearest neighbours and their distance in Å.
Space group Cmmm (No. 65)
Inequivalent atoms, fractional coordinates:
Mg 0.2500 0.2500 0.0000  4 Mg 2.75-2.79, 4 Fe 2.76, 4 Be 2.76
Be 0.0000 0.0000 0.5000  2 Fe 2.75, 8 Mg 2.76, 2 Be 2.79
Fe 0.0000 0.5000 0.5000  2 Be 2.75, 8 Mg 2.76, 2 Fe 2.79

=====

Below is a relaxed structure of GaOs2Cl2, with properties calculated at the GGA-PBE level.

## Properties
The polymorph energy (0 for the lowest one) is 390 meV per atom. The formation energy (no corrections) comes out at 1.32 eV/atom. The total energy comes out at -22.56 eV/f.u. For the calculated volume, the calculation gives 87.82 Å³/f.u.

Cell: 7.9872 7.9872 2.7533 Å, 90.00 90.00 90.00°
Last column: nearest neighbours and their distance in Å.
Space group P4/mbm (No. 127)
Inequivalent atoms, fractional coordinates:
Ga 0.0000 0.0000 0.0000  2 Ga 2.75
Os 0.2120 0.2880 0.5000  2 Cl 2.29
Cl 0.1256 0.6256 0.0000  2 Os 2.29